[1]
The following is a DFT calculation (GGA-PBE) of a relaxed structure of Sc2BeCdH. Values from VASP.

Properties
As for the symmetry: P4/mmm (123). The size of the total moment comes out at 0.00 μB per formula unit. For the density of states at the Fermi level, the calculation gives 3.0 states/eV/cell.

The structure in Quantum ESPRESSO input format:
```
&SYSTEM
  ibrav = 0, nat = 5, ntyp = 4
/
ATOMIC_SPECIES
Sc 44.96 Sc.upf
Be 9.01 Be.upf
H 1.01 H.upf
Cd 112.41 Cd.upf
CELL_PARAMETERS angstrom
-1.920 1.616 3.999
-4.025 -2.244 -1.026
1.135 -2.802 1.678
ATOMIC_POSITIONS angstrom
Sc -2.013 -1.122 -0.513
Sc -0.960 0.808 1.999
Be 0.567 -1.401 0.839
H 0.000 0.000 0.000
Cd -2.405 -1.715 2.325
```

[2]
The following is a DFT calculation (GGA-PBE) of a relaxed structure of Er3Be2Fe7. Values from VASP.

Properties
The calculation puts the formation energy at -14.9 kJ/mol of atoms. As for the symmetry: R-3m (166). The size of the total moment comes out at 11.72 μB per formula unit. For the density of states at the Fermi level, the calculation gives 9.0 states/eV/cell.

The structure in Quantum ESPRESSO input format:
```
&SYSTEM
  ibrav = 0, nat = 12, ntyp = 3
/
ATOMIC_SPECIES
Er 167.26 Er.upf
Be 9.01 Be.upf
Fe 55.84 Fe.upf
CELL_PARAMETERS angstrom
-1.238 -4.893 -0.015
2.782 -3.315 2.598
-3.944 -1.626 7.051
ATOMIC_POSITIONS angstrom
Er 0.000 0.000 0.000
Er -0.340 -7.740 5.199
Er -2.060 -2.095 4.435
Be -2.913 -7.099 8.770
Be 0.513 -2.736 0.864
Fe -1.200 -4.918 4.817
Fe -0.876 -6.295 2.713
Fe 1.134 -5.506 4.019
Fe -0.257 -3.849 2.720
Fe -1.525 -3.541 6.922
Fe -2.144 -5.986 6.914
Fe -3.534 -4.329 5.616
```

[3]
The following is a DFT calculation (GGA-PBE) of a relaxed structure of NaHfMn2Hg. Values from VASP.

Properties
The calculation puts the formation energy at 116.9 kJ/mol of atoms. As for the symmetry: P4/mmm (123). The size of the total moment comes out at 6.45 μB per formula unit. For the density of states at the Fermi level, the calculation gives 6.4 states/eV/cell.

The structure in Quantum ESPRESSO input format:
```
&SYSTEM
  ibrav = 0, nat = 5, ntyp = 4
/
ATOMIC_SPECIES
Na 22.99 Na.upf
Mn 54.94 Mn.upf
Hf 178.49 Hf.upf
Hg 200.59 Hg.upf
CELL_PARAMETERS angstrom
5.039 0.000 0.000
0.000 4.912 0.000
0.000 0.000 5.039
ATOMIC_POSITIONS angstrom
Na 0.000 2.456 0.000
Mn 0.000 0.000 2.520
Mn 2.520 0.000 0.000
Hf 2.520 2.456 2.520
Hg 0.000 0.000 0.000
```

[4]
The following is a DFT calculation (GGA-PBE) of a relaxed structure of Cs3NaCe2Te6. Values from VASP.

Properties
The uncorrected formation energy is -14.3 eV per formula unit. As for the symmetry: C2/m (12). The size of the total moment comes out at 0.00 μB per formula unit.

The structure in Quantum ESPRESSO input format:
```
&SYSTEM
  ibrav = 0, nat = 12, ntyp = 4
/
ATOMIC_SPECIES
Cs 132.91 Cs.upf
Na 22.99 Na.upf
Ce 140.12 Ce.upf
Te 127.60 Te.upf
CELL_PARAMETERS angstrom
-5.282 6.110 -0.999
-1.871 -6.232 4.888
6.001 4.301 5.540
ATOMIC_POSITIONS angstrom
Cs 0.592 -2.136 6.730
Cs -1.744 6.315 2.699
Cs -0.576 2.089 4.714
Na 0.000 0.000 0.000
Ce -3.005 -2.129 2.931
Ce -4.148 2.007 0.958
Te -1.179 5.585 6.369
Te -3.940 0.717 3.786
Te 0.027 -1.406 3.059
Te 0.039 1.179 8.471
Te 2.788 3.462 5.643
Te -1.191 3.000 0.957
```

[5]
The following is a DFT calculation (GGA-PBE) of a relaxed structure of La2NdHo4Sc. Values from VASP.

Properties
The calculation puts the formation energy at 4.7 kJ/mol of atoms. As for the symmetry: Pmmm (47). The size of the total moment comes out at 0.00 μB per formula unit. For the density of states at the Fermi level, the calculation gives 25.0 states/eV/cell.

The structure in Quantum ESPRESSO input format:
```
&SYSTEM
  ibrav = 0, nat = 16, ntyp = 4
/
ATOMIC_SPECIES
La 138.91 La.upf
Nd 144.24 Nd.upf
Ho 164.93 Ho.upf
Sc 44.96 Sc.upf
CELL_PARAMETERS angstrom
-6.801 -3.997 -6.112
1.702 -9.127 4.076
-4.465 5.445 1.407
ATOMIC_POSITIONS angstrom
La -3.401 -1.999 -3.056
La -5.633 0.724 -2.352
La -2.233 2.722 0.704
La -2.550 -6.562 -1.018
Nd 0.851 -4.563 2.038
Nd -8.183 -5.838 -3.371
Ho -4.845 -2.427 2.931
Ho -6.891 -2.605 -2.872
Ho -2.674 -5.075 2.242
Ho -4.720 -5.253 -3.560
Ho -8.268 -4.438 -0.145
Ho -6.093 -7.084 -0.829
Ho -3.472 -0.596 0.201
Ho -1.297 -3.242 -0.484
Sc -4.782 -3.840 -0.314
Sc -11.267 1.447 -4.705
```

[6]
The following is a DFT calculation (GGA-PBE) of a relaxed structure of Re2Mo2Os5. Values from VASP.

Properties
The calculation puts the formation energy at 8.2 kJ/mol of atoms. As for the symmetry: C2/m (12). The size of the total moment comes out at 0.00 μB per formula unit. For the density of states at the Fermi level, the calculation gives 8.7 states/eV/cell.

The structure in Quantum ESPRESSO input format:
```
&SYSTEM
  ibrav = 0, nat = 9, ntyp = 3
/
ATOMIC_SPECIES
Re 186.21 Re.upf
Mo 95.94 Mo.upf
Os 190.23 Os.upf
CELL_PARAMETERS angstrom
3.647 0.000 1.354
1.373 4.172 1.892
-0.966 -0.676 8.192
ATOMIC_POSITIONS angstrom
Re 0.970 1.227 8.567
Re 3.084 2.269 2.871
Mo 1.739 2.866 6.496
Mo 2.315 0.630 4.942
Os 1.167 0.315 2.446
Os 2.887 3.182 8.993
Os 0.604 2.560 3.963
Os 3.450 0.936 7.475
Os 0.000 0.000 0.000
```

[7]
The following is a DFT calculation (GGA-PBE) of a relaxed structure of Mg2CdSb2. Values from VASP.

Properties
The polymorph energy (0 for the lowest one) comes out at 0.074 eV per atom. The uncorrected formation energy is -0.6 eV per formula unit. As for the symmetry: I4/mmm (139). The size of the total moment comes out at 0.00 μB per formula unit. For the density of states at the Fermi level, the calculation gives 0.3 states/eV/cell.

The structure in Quantum ESPRESSO input format:
```
&SYSTEM
  ibrav = 0, nat = 5, ntyp = 3
/
ATOMIC_SPECIES
Sb 121.76 Sb.upf
Mg 24.30 Mg.upf
Cd 112.41 Cd.upf
CELL_PARAMETERS angstrom
-1.671 3.108 3.796
3.554 -1.998 3.200
4.482 4.359 1.942
ATOMIC_POSITIONS angstrom
Sb 1.859 1.541 3.095
Sb 4.506 3.929 5.843
Mg 1.876 4.011 4.618
Mg 4.489 1.458 4.320
Cd 0.000 0.000 0.000
```

[8]
The following is a DFT calculation (GGA-PBE) of a relaxed structure of TiNbCo. Values from VASP.

Properties
The polymorph energy (0 for the lowest one) comes out at 0.210 eV per atom. The calculation puts the formation energy at 3.6 kJ/mol of atoms. As for the symmetry: P3m1 (156). The size of the total moment comes out at 0.46 μB per formula unit. For the density of states at the Fermi level, the calculation gives 4.3 states/eV/cell.

The structure in Quantum ESPRESSO input format:
```
&SYSTEM
  ibrav = 0, nat = 3, ntyp = 3
/
ATOMIC_SPECIES
Nb 92.91 Nb.upf
Co 58.93 Co.upf
Ti 47.87 Ti.upf
CELL_PARAMETERS angstrom
2.816 0.000 0.000
0.000 4.292 0.000
0.000 -2.146 3.717
ATOMIC_POSITIONS angstrom
Nb 1.820 0.000 2.478
Co 0.946 2.146 1.239
Ti 0.051 0.000 0.000
```

no.,energy (eV per atom),ρ (g/cm3)
1,-4.29,4.57
2,-6.85,8.89
3,-4.77,6.82
4,-4.07,4.81
5,-4.86,7.29
6,-11.33,18.85
7,-2.59,4.61
8,-8.32,7.38